Entry 1:
# PBE KIn4PdAu2, relaxed
# * ρ: 8.18 g/cm³
# * calculated formation energy: -0.281 eV/atom
# * electronic total energy: -78.1 eV for the cell shown
data_KIn4PdAu2
_chemical_formula_sum 'K3 In12 Pd3 Au6'
_cell_length_a 4.6880
_cell_length_b 4.6880
_cell_length_c 31.9731
_cell_angle_alpha 90.00
_cell_angle_beta 90.00
_cell_angle_gamma 120.00
_symmetry_space_group_name_H-M 'R -3 m'
_symmetry_Int_Tables_number 166
_symmetry_space_group_name_Hall '-R 3 2"'
loop_
_atom_site_label
_atom_site_type_symbol
_atom_site_fract_x
_atom_site_fract_y
_atom_site_fract_z
K1 K 0.0000 0.0000 0.0000
In1 In 0.0000 0.0000 0.1371
In2 In 0.0000 0.0000 0.4071
Pd1 Pd 0.0000 0.0000 0.5000
Au1 Au 0.0000 0.0000 0.2346


Entry 2:
# PBE MnBe2Ga, relaxed
# * ρ: 5.58 g/cm³
# * calculated formation energy: -0.099 eV/atom
# * electronic total energy: -20.0 eV for the cell shown
data_MnBe2Ga
_chemical_formula_sum 'Mn1 Be2 Ga1'
_cell_length_a 3.5441
_cell_length_b 3.5441
_cell_length_c 3.3832
_cell_angle_alpha 90.00
_cell_angle_beta 90.00
_cell_angle_gamma 90.00
_symmetry_space_group_name_H-M 'P 4/m m m'
_symmetry_Int_Tables_number 123
_symmetry_space_group_name_Hall '-P 4 2'
loop_
_atom_site_label
_atom_site_type_symbol
_atom_site_fract_x
_atom_site_fract_y
_atom_site_fract_z
Mn1 Mn 0.0000 0.0000 0.0000
Be1 Be 0.0000 0.5000 0.5000
Ga1 Ga 0.5000 0.5000 0.0000


Entry 3:
# PBE SbP2Cl, relaxed
# * ρ: 3.27 g/cm³
# * excess energy over the best structure of this formula in the dataset: 200.4 meV per atom
# * E_form (uncorrected): 0.17 eV per atom
# * electronic total energy: -32.2 eV for the cell shown
data_SbP2Cl
_chemical_formula_sum 'Sb2 P4 Cl2'
_cell_length_a 3.2177
_cell_length_b 6.6944
_cell_length_c 10.3213
_cell_angle_alpha 90.00
_cell_angle_beta 90.00
_cell_angle_gamma 90.00
_symmetry_space_group_name_H-M 'C m m 2'
_symmetry_Int_Tables_number 35
_symmetry_space_group_name_Hall 'C 2 -2'
loop_
_atom_site_label
_atom_site_type_symbol
_atom_site_fract_x
_atom_site_fract_y
_atom_site_fract_z
Sb1 Sb 0.0000 0.0000 0.0000
P1 P 0.0000 0.0000 0.4266
P2 P 0.0000 0.5000 0.2929
Cl1 Cl 0.0000 0.5000 0.7934


Entry 4:
# PBE PmCoSi3Tc, relaxed
# * ρ: 5.87 g/cm³
# * E_form (uncorrected): -0.40 eV per atom
# * electronic total energy: -163.6 eV for the cell shown
data_PmCoSi3Tc
_chemical_formula_sum 'Pm4 Co4 Si12 Tc4'
_cell_length_a 7.2449
_cell_length_b 10.8565
_cell_length_c 5.5569
_cell_angle_alpha 90.00
_cell_angle_beta 90.00
_cell_angle_gamma 90.00
_symmetry_space_group_name_H-M 'C m c m'
_symmetry_Int_Tables_number 63
_symmetry_space_group_name_Hall '-C 2c 2'
loop_
_atom_site_label
_atom_site_type_symbol
_atom_site_fract_x
_atom_site_fract_y
_atom_site_fract_z
Pm1 Pm 0.0000 0.2433 0.2500
Co1 Co 0.0000 0.0428 0.7500
Si1 Si 0.0000 0.2356 0.7500
Si2 Si 0.2406 0.0000 0.0000
Tc1 Tc 0.0000 0.4425 0.7500


Entry 5:
# PBE CsCdInAg2, relaxed
# * ρ: 4.68 g/cm³
# * excess energy over the best structure of this formula in the dataset: 255.5 meV per atom
# * calculated formation energy: 0.353 eV/atom
# * electronic total energy: -8.4 eV for the cell shown
data_CsCdInAg2
_chemical_formula_sum 'Cs1 Cd1 In1 Ag2'
_cell_length_a 5.4467
_cell_length_b 5.4467
_cell_length_c 6.8927
_cell_angle_alpha 90.00
_cell_angle_beta 90.00
_cell_angle_gamma 90.00
_symmetry_space_group_name_H-M 'P 4/m m m'
_symmetry_Int_Tables_number 123
_symmetry_space_group_name_Hall '-P 4 2'
loop_
_atom_site_label
_atom_site_type_symbol
_atom_site_fract_x
_atom_site_fract_y
_atom_site_fract_z
Cs1 Cs 0.0000 0.0000 0.0000
Cd1 Cd 0.5000 0.5000 0.0000
In1 In 0.0000 0.0000 0.5000
Ag1 Ag 0.0000 0.5000 0.5000


Entry 6:
# PBE RbTlF2, relaxed
# * ρ: 6.59 g/cm³
# * excess energy over the best structure of this formula in the dataset: 125.0 meV per atom
# * E_form (uncorrected): -2.08 eV per atom
# * electronic total energy: -61.6 eV for the cell shown
data_RbTlF2
_chemical_formula_sum 'Rb4 Tl4 F8'
_cell_length_a 6.9150
_cell_length_b 6.9150
_cell_length_c 6.9150
_cell_angle_alpha 90.00
_cell_angle_beta 90.00
_cell_angle_gamma 90.00
_symmetry_space_group_name_H-M 'F m -3 m'
_symmetry_Int_Tables_number 225
_symmetry_space_group_name_Hall '-F 4 2 3'
loop_
_atom_site_label
_atom_site_type_symbol
_atom_site_fract_x
_atom_site_fract_y
_atom_site_fract_z
Rb1 Rb 0.0000 0.0000 0.0000
Tl1 Tl 0.0000 0.0000 0.5000
F1 F 0.2500 0.2500 0.2500


Entry 7:
# PBE NbFe3Co, relaxed
# * ρ: 6.93 g/cm³
# * excess energy over the best structure of this formula in the dataset: 0.0 meV per atom
# * calculated formation energy: 0.925 eV/atom
# * electronic total energy: -37.9 eV for the cell shown
data_NbFe3Co
_chemical_formula_sum 'Nb1 Fe3 Co1'
_cell_length_a 4.2466
_cell_length_b 4.2466
_cell_length_c 4.2466
_cell_angle_alpha 90.00
_cell_angle_beta 90.00
_cell_angle_gamma 90.00
_symmetry_space_group_name_H-M 'P m -3 m'
_symmetry_Int_Tables_number 221
_symmetry_space_group_name_Hall '-P 4 2 3'
loop_
_atom_site_label
_atom_site_type_symbol
_atom_site_fract_x
_atom_site_fract_y
_atom_site_fract_z
Nb1 Nb 0.0000 0.0000 0.0000
Fe1 Fe 0.0000 0.5000 0.5000
Co1 Co 0.5000 0.5000 0.5000


Entry 8:
# PBE CaNpGa2Au5, relaxed
# * ρ: 12.62 g/cm³
# * calculated formation energy: -0.335 eV/atom
# * electronic total energy: -40.4 eV for the cell shown
data_CaNpGa2Au5
_chemical_formula_sum 'Ca1 Np1 Ga2 Au5'
_cell_length_a 4.4083
_cell_length_b 4.4083
_cell_length_c 9.4860
_cell_angle_alpha 90.00
_cell_angle_beta 90.00
_cell_angle_gamma 90.00
_symmetry_space_group_name_H-M 'P 4/m m m'
_symmetry_Int_Tables_number 123
_symmetry_space_group_name_Hall '-P 4 2'
loop_
_atom_site_label
_atom_site_type_symbol
_atom_site_fract_x
_atom_site_fract_y
_atom_site_fract_z
Ca1 Ca 0.0000 0.0000 0.0000
Np1 Np 0.0000 0.0000 0.5000
Ga1 Ga 0.5000 0.5000 0.3703
Au1 Au 0.0000 0.5000 0.2274
Au2 Au 0.5000 0.5000 0.0000


Entry 9:
# PBE Cu2SiP, relaxed
# * ρ: 5.61 g/cm³
# * E_form (uncorrected): 0.41 eV per atom
# * electronic total energy: -69.5 eV for the cell shown
data_Cu2SiP
_chemical_formula_sum 'Cu8 Si4 P4'
_cell_length_a 6.0409
_cell_length_b 6.0409
_cell_length_c 6.0409
_cell_angle_alpha 90.00
_cell_angle_beta 90.00
_cell_angle_gamma 90.00
_symmetry_space_group_name_H-M 'F -4 3 m'
_symmetry_Int_Tables_number 216
_symmetry_space_group_name_Hall 'F -4 2 3'
loop_
_atom_site_label
_atom_site_type_symbol
_atom_site_fract_x
_atom_site_fract_y
_atom_site_fract_z
Cu1 Cu 0.0000 0.0000 0.0000
Cu2 Cu 0.2500 0.2500 0.2500
Si1 Si 0.2500 0.2500 0.7500
P1 P 0.0000 0.0000 0.5000


Entry 10:
# PBE TcSnOsF2, relaxed
# * ρ: 9.07 g/cm³
# * excess energy over the best structure of this formula in the dataset: 0.0 meV per atom
# * E_form (uncorrected): -0.34 eV per atom
# * electronic total energy: -31.0 eV for the cell shown
data_TcSnOsF2
_chemical_formula_sum 'Tc1 Sn1 Os1 F2'
_cell_length_a 4.0180
_cell_length_b 4.0180
_cell_length_c 5.0438
_cell_angle_alpha 90.00
_cell_angle_beta 90.00
_cell_angle_gamma 90.00
_symmetry_space_group_name_H-M 'P 4/m m m'
_symmetry_Int_Tables_number 123
_symmetry_space_group_name_Hall '-P 4 2'
loop_
_atom_site_label
_atom_site_type_symbol
_atom_site_fract_x
_atom_site_fract_y
_atom_site_fract_z
Tc1 Tc 0.0000 0.0000 0.0000
Sn1 Sn 0.5000 0.5000 0.5000
Os1 Os 0.0000 0.0000 0.5000
F1 F 0.0000 0.5000 0.0000


Entry 11:
# PBE Nb2AuCl, relaxed
# * ρ: 8.70 g/cm³
# * excess energy over the best structure of this formula in the dataset: 259.8 meV per atom
# * E_form (uncorrected): 0.48 eV per atom
# * electronic total energy: -93.4 eV for the cell shown
data_Nb2AuCl
_chemical_formula_sum 'Nb8 Au4 Cl4'
_cell_length_a 4.1804
_cell_length_b 4.1804
_cell_length_c 18.2806
_cell_angle_alpha 90.00
_cell_angle_beta 90.00
_cell_angle_gamma 90.00
_symmetry_space_group_name_H-M 'I -4 2 d'
_symmetry_Int_Tables_number 122
_symmetry_space_group_name_Hall 'I -4 2bw'
loop_
_atom_site_label
_atom_site_type_symbol
_atom_site_fract_x
_atom_site_fract_y
_atom_site_fract_z
Nb1 Nb 0.2444 0.2500 0.1250
Au1 Au 0.0000 0.0000 0.5000
Cl1 Cl 0.0000 0.0000 0.0000


Entry 12:
# PBE AcSi2, relaxed
# * ρ: 6.67 g/cm³
# * excess energy over the best structure of this formula in the dataset: 0.0 meV per atom
# * E_form (uncorrected): -0.53 eV per atom
# * electronic total energy: -16.5 eV for the cell shown
data_AcSi2
_chemical_formula_sum 'Ac1 Si2'
_cell_length_a 4.1980
_cell_length_b 4.1980
_cell_length_c 4.6151
_cell_angle_alpha 90.00
_cell_angle_beta 90.00
_cell_angle_gamma 120.00
_symmetry_space_group_name_H-M 'P 6/m m m'
_symmetry_Int_Tables_number 191
_symmetry_space_group_name_Hall '-P 6 2'
loop_
_atom_site_label
_atom_site_type_symbol
_atom_site_fract_x
_atom_site_fract_y
_atom_site_fract_z
Ac1 Ac 0.0000 0.0000 0.0000
Si1 Si 0.3333 0.6667 0.5000


Entry 13:
# PBE MgInP4, relaxed
# * ρ: 4.08 g/cm³
# * calculated formation energy: 0.400 eV/atom
# * electronic total energy: -94.3 eV for the cell shown
data_MgInP4
_chemical_formula_sum 'Mg4 In4 P16'
_cell_length_a 7.5395
_cell_length_b 7.5395
_cell_length_c 7.5395
_cell_angle_alpha 90.00
_cell_angle_beta 90.00
_cell_angle_gamma 90.00
_symmetry_space_group_name_H-M 'F -4 3 m'
_symmetry_Int_Tables_number 216
_symmetry_space_group_name_Hall 'F -4 2 3'
loop_
_atom_site_label
_atom_site_type_symbol
_atom_site_fract_x
_atom_site_fract_y
_atom_site_fract_z
Mg1 Mg 0.0000 0.0000 0.0000
In1 In 0.2500 0.2500 0.2500
P1 P 0.1287 0.1287 0.6287


Entry 14:
# PBE Ta2MoPt, relaxed
# * ρ: 16.02 g/cm³
# * calculated formation energy: -0.223 eV/atom
# * electronic total energy: -41.5 eV for the cell shown
data_Ta2MoPt
_chemical_formula_sum 'Ta2 Mo1 Pt1'
_cell_length_a 2.7710
_cell_length_b 4.7569
_cell_length_c 5.1678
_cell_angle_alpha 90.00
_cell_angle_beta 96.53
_cell_angle_gamma 90.00
_symmetry_space_group_name_H-M 'P 1 m 1'
_symmetry_Int_Tables_number 6
_symmetry_space_group_name_Hall 'P -2y'
loop_
_atom_site_label
_atom_site_type_symbol
_atom_site_fract_x
_atom_site_fract_y
_atom_site_fract_z
Ta1 Ta 0.0000 0.0000 0.0000
Ta2 Ta 0.2344 0.5000 0.6930
Mo1 Mo 0.6566 0.5000 0.1802
Pt1 Pt 0.6138 0.0000 0.4984